Record 1
The following is a DFT calculation (PBE) of a geometry-optimized ZnCo2Ag structure.

POSCAR file:
```
ZnCo2Ag
1.0
-1.622 -2.977 -1.175
2.711 -0.578 -2.279
4.889 -6.674 4.683
Zn Co Ag
2 4 2
direct
0.500 0.500 0.000 Zn
0.250 0.750 0.500 Zn
0.582 0.125 0.250 Co
0.375 0.418 0.750 Co
0.168 0.625 0.250 Co
0.875 0.832 0.750 Co
0.750 0.250 0.500 Ag
0.000 0.000 0.000 Ag
```

Calculated values
M_tot (μB per formula unit): 3.35
Electronic total energy (eV per atom): -4.081
DOS at the Fermi energy (states/eV per cell): 6.1
Formation energy (eV/atom): 0.503



Record 2
The following is a DFT calculation (PBE) of a geometry-optimized ZnCo2Ag structure.

POSCAR file:
```
ZnCo2Ag
1.0
4.229 0.000 0.000
2.115 3.663 0.000
2.115 1.221 3.453
Co Ag Zn
2 1 1
direct
0.000 0.000 0.000 Co
0.250 0.250 0.250 Co
0.500 0.500 0.500 Ag
0.750 0.750 0.750 Zn
```

Calculated values
M_tot (μB per formula unit): 2.84
Electronic total energy (eV per atom): -4.321
DOS at the Fermi energy (states/eV per cell): 3.5
Formation energy (eV/atom): 0.264



Record 3
The following is a DFT calculation (PBE) of a geometry-optimized ZnCo2Ag structure.

POSCAR file:
```
ZnCo2Ag
1.0
-0.080 -2.819 -3.819
4.027 -2.430 -0.650
-2.911 0.683 3.688
Co Zn Ag
2 1 1
direct
0.000 0.000 0.000 Co
0.500 0.500 0.000 Co
0.250 0.750 0.500 Zn
0.750 0.250 0.500 Ag
```

Calculated values
M_tot (μB per formula unit): 3.14
Electronic total energy (eV per atom): -4.314
DOS at the Fermi energy (states/eV per cell): 5.8
Formation energy (eV/atom): 0.270



Record 4
The following is a DFT calculation (PBE) of a geometry-optimized ZnCoAg3 structure.

POSCAR file:
```
ZnCoAg3
1.0
4.807 0.000 0.000
0.000 4.807 0.000
0.000 0.000 4.807
Ag Zn Co
3 1 1
direct
0.500 0.000 0.000 Ag
0.000 0.000 0.500 Ag
0.000 0.500 0.000 Ag
0.500 0.500 0.500 Zn
0.000 0.000 0.000 Co
```

Calculated values
M_tot (μB per formula unit): 1.86
Electronic total energy (eV per atom): -2.436
DOS at the Fermi energy (states/eV per cell): 6.7
Formation energy (eV/atom): 0.951



Record 5
The following is a DFT calculation (PBE) of a geometry-optimized Zn2CoAg structure.

POSCAR file:
```
Zn2CoAg
1.0
3.966 0.000 0.000
0.000 3.531 -0.006
0.000 0.007 3.970
Co Ag Zn
1 1 2
direct
0.500 0.625 0.875 Co
0.000 0.625 0.375 Ag
0.500 0.125 0.375 Zn
0.000 0.125 0.875 Zn
```

Calculated values
M_tot (μB per formula unit): 0.00
Electronic total energy (eV per atom): -3.065
DOS at the Fermi energy (states/eV per cell): 1.7
Formation energy (eV/atom): 0.061



Record 6
The following is a DFT calculation (PBE) of a geometry-optimized ZnCo2Ag structure.

POSCAR file:
```
ZnCo2Ag
1.0
4.720 -0.008 0.017
3.946 2.589 0.017
0.878 0.262 4.400
Co Zn Ag
2 1 1
direct
0.006 0.006 0.980 Co
0.494 0.494 0.520 Co
0.750 0.750 0.750 Zn
0.250 0.250 0.250 Ag
```

Calculated values
M_tot (μB per formula unit): 3.08
Electronic total energy (eV per atom): -4.340
DOS at the Fermi energy (states/eV per cell): 4.1
Formation energy (eV/atom): 0.245



Record 7
The following is a DFT calculation (PBE) of a geometry-optimized Zn6CoAg structure.

POSCAR file:
```
Zn6CoAg
1.0
3.813 0.000 0.000
0.000 3.813 0.000
0.000 0.000 7.841
Zn Ag Co
6 1 1
direct
0.000 0.500 0.269 Zn
0.000 0.500 0.731 Zn
0.500 0.000 0.731 Zn
0.500 0.000 0.269 Zn
0.500 0.500 0.500 Zn
0.500 0.500 0.000 Zn
0.000 0.000 0.000 Ag
0.000 0.000 0.500 Co
```

Calculated values
M_tot (μB per formula unit): 0.00
Electronic total energy (eV per atom): -2.220
DOS at the Fermi energy (states/eV per cell): 2.9
Formation energy (eV/atom): -0.020



Record 8
The following is a DFT calculation (PBE) of a geometry-optimized Zn2CoAg structure.

POSCAR file:
```
Zn2CoAg
1.0
2.729 0.000 0.000
0.000 3.862 0.000
0.000 0.000 5.445
Co Zn Ag
1 2 1
direct
0.500 0.500 0.777 Co
0.000 0.000 0.979 Zn
0.500 0.500 0.246 Zn
0.000 0.000 0.498 Ag
```

Calculated values
M_tot (μB per formula unit): 1.31
Electronic total energy (eV per atom): -3.004
DOS at the Fermi energy (states/eV per cell): 3.2
Formation energy (eV/atom): 0.122